Entry 1:
Compound: Cd2SeCl
Source: Alexandria
Functional: PBE
Structure: optimized geometry

Polymorph energy (0 for the lowest one)   0.122 eV per atom
Raw formation energy   -0.3896 eV per atom
V   112.1 Å³/cell
N(E_F)   0.7 states/eV/cell
Spin magnetization   0.0 μB per formula unit
Space-group type   C2/m

abc: 5.531 5.531 4.252
angles: 111.34 111.34 88.09
Element x y z (fractional)
Cd: 0.000 0.500 0.000
Cd: 0.500 0.000 0.000
Se: 0.000 0.000 0.000
Cl: 0.500 0.500 0.000

=====

Entry 2:
Compound: Rb2MoPtCl6
Source: Alexandria
Functional: PBE
Structure: optimized geometry

Raw formation energy   -0.9715 eV per atom
V   297.2 Å³/cell
N(E_F)   3.8 states/eV/cell
Spin magnetization   2.0 μB per formula unit
Space-group type   I4/mmm

abc: 7.304 7.304 7.304
angles: 112.80 112.80 103.00
Element x y z (fractional)
Rb: 0.250 0.750 0.500
Rb: 0.750 0.250 0.500
Mo: 0.000 0.000 0.000
Pt: 0.500 0.500 0.000
Cl: 0.215 0.215 0.429
Cl: 0.215 0.785 0.000
Cl: 0.257 0.257 0.000
Cl: 0.743 0.743 0.000
Cl: 0.785 0.215 0.000
Cl: 0.785 0.785 0.571

=====

Entry 3:
Compound: TaIrPt2
Source: Alexandria
Functional: PBE
Structure: optimized geometry

Formation energy from the elements   -0.592 eV/atom
Polymorph energy (0 for the lowest one)   0.041 eV per atom
V   62.8 Å³/cell
N(E_F)   4.7 states/eV/cell
Spin magnetization   0.0 μB per formula unit
Space-group type   I4/mmm

abc: 4.932 4.932 4.932
angles: 133.10 133.10 68.49
Element x y z (fractional)
Ta: 0.000 0.000 0.000
Ir: 0.500 0.500 0.000
Pt: 0.250 0.750 0.500
Pt: 0.750 0.250 0.500

=====

Entry 4:
Compound: LaPm4Y6
Source: Alexandria
Functional: PBE
Structure: optimized geometry

Formation energy from the elements   0.153 eV/atom
Polymorph energy (0 for the lowest one)   0.046 eV per atom
V   381.5 Å³/cell
N(E_F)   17.4 states/eV/cell
Spin magnetization   0.0 μB per formula unit
Space-group type   P-6m2

abc: 11.089 11.089 3.583
angles: 90.00 90.00 120.00
Element x y z (fractional)
La: 0.000 0.000 0.000
Pm: 0.333 0.667 0.000
Pm: 0.396 0.198 0.500
Pm: 0.802 0.198 0.500
Pm: 0.802 0.604 0.500
Y: 0.006 0.503 0.000
Y: 0.171 0.342 0.500
Y: 0.171 0.829 0.500
Y: 0.497 0.503 0.000
Y: 0.497 0.994 0.000
Y: 0.658 0.829 0.500

=====

Entry 5:
Compound: ErSc2ZnN
Source: Alexandria
Functional: PBE
Structure: optimized geometry

Raw formation energy   -0.9124 eV per atom
V   92.1 Å³/cell
N(E_F)   4.8 states/eV/cell
Spin magnetization   0.0 μB per formula unit
Space-group type   P4/mmm

abc: 4.428 4.428 4.700
angles: 90.00 90.00 90.00
Element x y z (fractional)
Er: 0.000 0.000 0.000
Sc: 0.000 0.500 0.500
Sc: 0.500 0.000 0.500
Zn: 0.500 0.500 0.000
N: 0.000 0.000 0.500

=====

Entry 6:
Compound: Li2InIr
Source: Alexandria
Functional: PBE
Structure: optimized geometry

Formation energy from the elements   -0.235 eV/atom
V   64.1 Å³/cell
N(E_F)   1.4 states/eV/cell
Spin magnetization   0.0 μB per formula unit
Space-group type   C2/m

abc: 5.294 5.294 4.490
angles: 114.26 114.26 34.34
Element x y z (fractional)
Li: 0.232 0.232 0.230
Li: 0.768 0.768 0.770
In: 0.000 0.000 0.500
Ir: 0.500 0.500 0.000

=====

Entry 7:
Compound: LuTl2Au
Source: Alexandria
Functional: PBE
Structure: optimized geometry

Formation energy from the elements   -0.250 eV/atom
Polymorph energy (0 for the lowest one)   0.000 eV per atom
V   95.6 Å³/cell
N(E_F)   2.3 states/eV/cell
Spin magnetization   0.0 μB per formula unit
Space-group type   P4/mmm

abc: 4.523 4.523 4.675
angles: 90.00 90.00 90.00
Element x y z (fractional)
Lu: 0.000 0.000 0.000
Tl: 0.000 0.500 0.500
Tl: 0.500 0.000 0.500
Au: 0.500 0.500 0.000

=====

Entry 8:
Compound: Ca2PbAu8
Source: Alexandria
Functional: PBE
Structure: optimized geometry

Formation energy from the elements   -0.413 eV/atom
V   241.0 Å³/cell
N(E_F)   3.4 states/eV/cell
Spin magnetization   0.0 μB per formula unit
Space-group type   C2/m

abc: 8.555 8.555 5.374
angles: 105.78 105.78 128.35
Element x y z (fractional)
Ca: 0.182 0.818 0.000
Ca: 0.818 0.182 0.000
Pb: 0.500 0.500 0.500
Au: 0.038 0.038 0.785
Au: 0.136 0.404 0.724
Au: 0.295 0.705 0.500
Au: 0.404 0.136 0.724
Au: 0.596 0.864 0.276
Au: 0.705 0.295 0.500
Au: 0.864 0.596 0.276
Au: 0.962 0.962 0.215

=====

Entry 9:
Compound: Ba6Bi2PdI3
Source: Alexandria
Functional: PBE
Structure: optimized geometry

Raw formation energy   -1.1786 eV per atom
V   554.8 Å³/cell
N(E_F)   4.1 states/eV/cell
Spin magnetization   0.0 μB per formula unit
Space-group type   C2/m

abc: 11.385 11.385 10.325
angles: 104.79 104.79 25.44
Element x y z (fractional)
Ba: 0.003 0.003 0.221
Ba: 0.327 0.327 0.431
Ba: 0.352 0.352 0.909
Ba: 0.648 0.648 0.091
Ba: 0.673 0.673 0.569
Ba: 0.997 0.997 0.779
Bi: 0.164 0.164 0.331
Bi: 0.836 0.836 0.669
Pd: 0.500 0.500 0.000
I: 0.170 0.170 0.836
I: 0.500 0.500 0.500
I: 0.830 0.830 0.164

=====

Entry 10:
Compound: Re3Tc4Mo2
Source: Alexandria
Functional: PBE
Structure: optimized geometry

Formation energy from the elements   0.166 eV/atom
V   275.7 Å³/cell
N(E_F)   17.2 states/eV/cell
Spin magnetization   0.0 μB per formula unit
Space-group type   C2/c

abc: 7.611 7.611 4.943
angles: 99.65 99.65 80.83
Element x y z (fractional)
Re: 0.009 0.991 0.750
Re: 0.200 0.660 0.460
Re: 0.340 0.800 0.040
Re: 0.660 0.200 0.960
Re: 0.800 0.340 0.540
Re: 0.991 0.009 0.250
Tc: 0.142 0.298 0.609
Tc: 0.298 0.142 0.109
Tc: 0.349 0.449 0.024
Tc: 0.449 0.349 0.524
Tc: 0.551 0.651 0.476
Tc: 0.651 0.551 0.976
Tc: 0.702 0.858 0.891
Tc: 0.858 0.702 0.391
Mo: 0.020 0.650 0.909
Mo: 0.350 0.980 0.591
Mo: 0.650 0.020 0.409
Mo: 0.980 0.350 0.091

=====

Entry 11:
Compound: CeDyScSe3
Source: Alexandria
Functional: PBE
Structure: optimized geometry

Raw formation energy   -1.5687 eV per atom
V   308.5 Å³/cell
N(E_F)   17.9 states/eV/cell
Spin magnetization   1.2 μB per formula unit
Space-group type   P2_1/m

abc: 8.398 3.993 9.471
angles: 90.00 103.70 90.00
Element x y z (fractional)
Ce: 0.174 0.250 0.210
Ce: 0.826 0.750 0.790
Dy: 0.349 0.750 0.875
Dy: 0.651 0.250 0.125
Sc: 0.116 0.250 0.603
Sc: 0.884 0.750 0.397
Se: 0.103 0.250 0.882
Se: 0.222 0.750 0.467
Se: 0.438 0.750 0.187
Se: 0.562 0.250 0.813
Se: 0.778 0.250 0.533
Se: 0.897 0.750 0.118

=====

Entry 12:
Compound: NaBSe2N
Source: Alexandria
Functional: PBE
Structure: optimized geometry

Polymorph energy (0 for the lowest one)   2.442 eV per atom
Raw formation energy   2.2651 eV per atom
V   110.2 Å³/cell
N(E_F)   5.0 states/eV/cell
Spin magnetization   1.2 μB per formula unit
Space-group type   P4/mmm

abc: 5.132 5.132 4.185
angles: 90.00 90.00 90.00
Element x y z (fractional)
Na: 0.000 0.000 0.000
B: 0.500 0.500 0.500
Se: 0.000 0.500 0.000
Se: 0.500 0.000 0.000
N: 0.000 0.000 0.500